(1)
VASP calculation (PBE-GGA) on crystalline Ga3AgS at its relaxed geometry.

Structure (POSCAR):
```
Ga3AgS
1.0
-1.601 3.010 -3.510
-4.585 -1.514 0.793
-0.599 3.548 3.316
Ga Ag S
3 1 1
direct
0.500 0.000 0.000 Ga
0.000 0.500 0.000 Ga
0.000 0.000 0.500 Ga
0.500 0.500 0.500 Ag
0.000 0.000 0.000 S
```

## Properties
- Energy relative to the elements, uncorrected: 406 meV per atom

---

(2)
VASP calculation (PBE-GGA) on crystalline NaLa2C at its relaxed geometry.

Structure (POSCAR):
```
NaLa2C
1.0
-0.453 1.566 3.322
-1.141 -3.472 -0.580
18.961 -7.230 5.995
La Na C
4 2 2
direct
0.333 0.667 0.432 La
0.667 0.333 0.932 La
0.667 0.333 0.568 La
0.333 0.667 0.068 La
0.333 0.667 0.250 Na
0.667 0.333 0.750 Na
0.000 0.000 0.000 C
0.000 0.000 0.500 C
```

## Properties
- ΔH_f (0 K): -0.0534 eV per atom

---

(3)
VASP calculation (PBE-GGA) on crystalline Sm3CoHg at its relaxed geometry.

Structure (POSCAR):
```
Sm3CoHg
1.0
-4.890 0.705 -1.730
-1.847 -2.553 4.180
-0.281 4.515 2.634
Co Sm Hg
1 3 1
direct
0.000 0.000 0.000 Co
0.000 0.500 0.000 Sm
0.000 0.000 0.500 Sm
0.500 0.000 0.000 Sm
0.500 0.500 0.500 Hg
```

## Properties
- ΔH_f (0 K): -0.1037 eV per atom

---

(4)
VASP calculation (PBE-GGA) on crystalline Tm3Zn3Ni2 at its relaxed geometry.

Structure (POSCAR):
```
Tm3Zn3Ni2
1.0
5.314 0.000 0.000
0.000 7.247 0.000
0.000 0.000 15.603
Tm Ni Zn
12 8 12
direct
0.859 0.834 0.250 Tm
0.382 0.963 0.392 Tm
0.618 0.037 0.608 Tm
0.641 0.334 0.250 Tm
0.118 0.463 0.108 Tm
0.882 0.537 0.608 Tm
0.359 0.666 0.750 Tm
0.141 0.166 0.750 Tm
0.882 0.537 0.892 Tm
0.618 0.037 0.892 Tm
0.382 0.963 0.108 Tm
0.118 0.463 0.392 Tm
0.379 0.382 0.616 Ni
0.379 0.382 0.884 Ni
0.879 0.118 0.116 Ni
0.879 0.118 0.384 Ni
0.621 0.618 0.384 Ni
0.121 0.882 0.884 Ni
0.121 0.882 0.616 Ni
0.621 0.618 0.116 Ni
0.398 0.675 0.968 Zn
0.365 0.675 0.250 Zn
0.898 0.825 0.468 Zn
0.398 0.675 0.532 Zn
0.602 0.325 0.468 Zn
0.102 0.175 0.968 Zn
0.102 0.175 0.532 Zn
0.635 0.325 0.750 Zn
0.602 0.325 0.032 Zn
0.865 0.825 0.750 Zn
0.898 0.825 0.032 Zn
0.135 0.175 0.250 Zn
```

## Properties
- ΔH_f (0 K): -0.4214 eV per atom

---

| no. | spin magnetization (Bohr magnetons per cell) |
| --- | --- |
| 1 | 0.000 |
| 2 | 0.001 |
| 3 | 0.000 |
| 4 | 0.000 |